P | Material: ThZr3
Method: DFT, PBE
State: optimized geometry

Output
Its symmetry is Pmmn, No. 59. Its spin magnetization is 0.000 μB per atom. The value obtained for the density is 8.2 g cm⁻³.

CIF file:
```
data_ThZr3
_cell_length_a 5.4244
_cell_length_b 6.5328
_cell_length_c 5.7580
_cell_angle_alpha 90.00
_cell_angle_beta 90.00
_cell_angle_gamma 90.00
_space_group_name_H-M_alt 'P 1'
_space_group_IT_number 1
loop_
_space_group_symop_operation_xyz
'x,y,z'
loop_
_atom_site_label
_atom_site_type_symbol
_atom_site_fract_x
_atom_site_fract_y
_atom_site_fract_z
_atom_site_occupancy
Th1 Th 0.2500 0.2500 0.1475 1
Th2 Th 0.7500 0.7500 0.8525 1
Zr1 Zr 0.2500 0.0085 0.6525 1
Zr2 Zr 0.2500 0.4915 0.6525 1
Zr3 Zr 0.2500 0.7500 0.1981 1
Zr4 Zr 0.7500 0.2500 0.8019 1
Zr5 Zr 0.7500 0.5085 0.3475 1
Zr6 Zr 0.7500 0.9915 0.3475 1
```

***

Q | Material: ThZr3
Method: DFT, PBE
State: optimized geometry

Output
Its symmetry is P6_3/mmc, No. 194. Its spin magnetization is 0.001 μB per atom. The value obtained for the density is 8.2 g cm⁻³.

CIF file:
```
data_ThZr3
_cell_length_a 6.6216
_cell_length_b 6.6216
_cell_length_c 5.4014
_cell_angle_alpha 90.00
_cell_angle_beta 90.00
_cell_angle_gamma 120.00
_space_group_name_H-M_alt 'P 1'
_space_group_IT_number 1
loop_
_space_group_symop_operation_xyz
'x,y,z'
loop_
_atom_site_label
_atom_site_type_symbol
_atom_site_fract_x
_atom_site_fract_y
_atom_site_fract_z
_atom_site_occupancy
Th1 Th 0.3333 0.6667 0.2500 1
Th2 Th 0.6667 0.3333 0.7500 1
Zr1 Zr 0.1568 0.3136 0.7500 1
Zr2 Zr 0.1568 0.8432 0.7500 1
Zr3 Zr 0.3136 0.1568 0.2500 1
Zr4 Zr 0.6864 0.8432 0.7500 1
Zr5 Zr 0.8432 0.1568 0.2500 1
Zr6 Zr 0.8432 0.6864 0.2500 1
```

***

Most stable: P

***

P | Material: TmTlW
Method: DFT, PBE
State: optimized geometry

Output
Its symmetry is F-43m, No. 216. Its spin magnetization is 0.722 μB per atom. The value obtained for the density is 11.4 g cm⁻³.

CIF file:
```
data_TmTlW
_cell_length_a 4.8549
_cell_length_b 4.8549
_cell_length_c 4.8549
_cell_angle_alpha 60.00
_cell_angle_beta 60.00
_cell_angle_gamma 60.00
_space_group_name_H-M_alt 'P 1'
_space_group_IT_number 1
loop_
_space_group_symop_operation_xyz
'x,y,z'
loop_
_atom_site_label
_atom_site_type_symbol
_atom_site_fract_x
_atom_site_fract_y
_atom_site_fract_z
_atom_site_occupancy
Tm1 Tm 0.0000 0.0000 0.0000 1
Tl1 Tl 0.7500 0.7500 0.7500 1
W1 W 0.2500 0.2500 0.2500 1
```

***

Q | Material: TmTlW
Method: DFT, PBE
State: optimized geometry

Output
Its symmetry is F-43m, No. 216. Its spin magnetization is 0.703 μB per atom. The value obtained for the density is 11.7 g cm⁻³.

CIF file:
```
data_TmTlW
_cell_length_a 4.8200
_cell_length_b 4.8200
_cell_length_c 4.8200
_cell_angle_alpha 60.00
_cell_angle_beta 60.00
_cell_angle_gamma 60.00
_space_group_name_H-M_alt 'P 1'
_space_group_IT_number 1
loop_
_space_group_symop_operation_xyz
'x,y,z'
loop_
_atom_site_label
_atom_site_type_symbol
_atom_site_fract_x
_atom_site_fract_y
_atom_site_fract_z
_atom_site_occupancy
Tm1 Tm 0.0000 0.0000 0.0000 1
Tl1 Tl 0.5000 0.5000 0.5000 1
W1 W 0.7500 0.7500 0.7500 1
```

***

Most stable: Q

***

P | Material: ZrUTl
Method: DFT, PBE
State: optimized geometry

Output
Its symmetry is F-43m, No. 216. Its spin magnetization is 1.459 μB per atom. The value obtained for the density is 10.4 g cm⁻³.

CIF file:
```
data_ZrUTl
_cell_length_a 4.9338
_cell_length_b 4.9338
_cell_length_c 4.9338
_cell_angle_alpha 60.00
_cell_angle_beta 60.00
_cell_angle_gamma 60.00
_space_group_name_H-M_alt 'P 1'
_space_group_IT_number 1
loop_
_space_group_symop_operation_xyz
'x,y,z'
loop_
_atom_site_label
_atom_site_type_symbol
_atom_site_fract_x
_atom_site_fract_y
_atom_site_fract_z
_atom_site_occupancy
Zr1 Zr 0.0000 0.0000 0.0000 1
U1 U 0.5000 0.5000 0.5000 1
Tl1 Tl 0.7500 0.7500 0.7500 1
```

***

Q | Material: ZrUTl
Method: DFT, PBE
State: optimized geometry

Output
Its symmetry is F-43m, No. 216. Its spin magnetization is 1.657 μB per atom. The value obtained for the density is 9.8 g cm⁻³.

CIF file:
```
data_ZrUTl
_cell_length_a 5.0334
_cell_length_b 5.0334
_cell_length_c 5.0334
_cell_angle_alpha 60.00
_cell_angle_beta 60.00
_cell_angle_gamma 60.00
_space_group_name_H-M_alt 'P 1'
_space_group_IT_number 1
loop_
_space_group_symop_operation_xyz
'x,y,z'
loop_
_atom_site_label
_atom_site_type_symbol
_atom_site_fract_x
_atom_site_fract_y
_atom_site_fract_z
_atom_site_occupancy
Zr1 Zr 0.0000 0.0000 0.0000 1
U1 U 0.7500 0.7500 0.7500 1
Tl1 Tl 0.5000 0.5000 0.5000 1
```

***

Most stable: P

***

P | Material: YTm
Method: DFT, PBE
State: optimized geometry

Output
Its symmetry is P6_3/mmc, No. 194. Its spin magnetization is 0.171 μB per atom. The value obtained for the density is 7.2 g cm⁻³.

CIF file:
```
data_YTm
_cell_length_a 3.9828
_cell_length_b 3.9828
_cell_length_c 8.6074
_cell_angle_alpha 90.00
_cell_angle_beta 90.00
_cell_angle_gamma 120.00
_space_group_name_H-M_alt 'P 1'
_space_group_IT_number 1
loop_
_space_group_symop_operation_xyz
'x,y,z'
loop_
_atom_site_label
_atom_site_type_symbol
_atom_site_fract_x
_atom_site_fract_y
_atom_site_fract_z
_atom_site_occupancy
Y1 Y 0.0000 0.0000 0.0000 1
Y2 Y 0.0000 0.0000 0.5000 1
Tm1 Tm 0.3333 0.6667 0.2500 1
Tm2 Tm 0.6667 0.3333 0.7500 1
```

***

Q | Material: YTm
Method: DFT, PBE
State: optimized geometry

Output
Its symmetry is P-6m2, No. 187. Its spin magnetization is 0.072 μB per atom. The value obtained for the density is 6.8 g cm⁻³.

CIF file:
```
data_YTm
_cell_length_a 3.5990
_cell_length_b 3.5990
_cell_length_c 5.6237
_cell_angle_alpha 90.00
_cell_angle_beta 90.00
_cell_angle_gamma 120.00
_space_group_name_H-M_alt 'P 1'
_space_group_IT_number 1
loop_
_space_group_symop_operation_xyz
'x,y,z'
loop_
_atom_site_label
_atom_site_type_symbol
_atom_site_fract_x
_atom_site_fract_y
_atom_site_fract_z
_atom_site_occupancy
Y1 Y 0.0000 0.0000 0.0000 1
Tm1 Tm 0.3333 0.6667 0.5000 1
```

***

R | Material: YTm
Method: DFT, PBE
State: optimized geometry

Output
Its symmetry is Fm-3m, No. 225. Its spin magnetization is 0.619 μB per atom. The value obtained for the density is 6.3 g cm⁻³.

CIF file:
```
data_YTm
_cell_length_a 4.5784
_cell_length_b 4.5784
_cell_length_c 4.5784
_cell_angle_alpha 60.00
_cell_angle_beta 60.00
_cell_angle_gamma 60.00
_space_group_name_H-M_alt 'P 1'
_space_group_IT_number 1
loop_
_space_group_symop_operation_xyz
'x,y,z'
loop_
_atom_site_label
_atom_site_type_symbol
_atom_site_fract_x
_atom_site_fract_y
_atom_site_fract_z
_atom_site_occupancy
Y1 Y 0.0000 0.0000 0.0000 1
Tm1 Tm 0.5000 0.5000 0.5000 1
```

***

Most stable: Q

***

P | Material: YTm2
Method: DFT, PBE
State: optimized geometry

Output
Its symmetry is Fd-3m, No. 227. Its spin magnetization is 1.667 μB per atom. The value obtained for the density is 1.9 g cm⁻³.

CIF file:
```
data_YTm2
_cell_length_a 10.1663
_cell_length_b 10.1663
_cell_length_c 10.1663
_cell_angle_alpha 60.00
_cell_angle_beta 60.00
_cell_angle_gamma 60.00
_space_group_name_H-M_alt 'P 1'
_space_group_IT_number 1
loop_
_space_group_symop_operation_xyz
'x,y,z'
loop_
_atom_site_label
_atom_site_type_symbol
_atom_site_fract_x
_atom_site_fract_y
_atom_site_fract_z
_atom_site_occupancy
Y1 Y 0.1250 0.1250 0.1250 1
Y2 Y 0.8750 0.8750 0.8750 1
Tm1 Tm 0.0000 0.0000 0.0000 1
Tm2 Tm 0.0000 0.0000 0.5000 1
Tm3 Tm 0.0000 0.5000 0.0000 1
Tm4 Tm 0.5000 0.0000 0.0000 1
```

***

Q | Material: YTm2
Method: DFT, PBE
State: optimized geometry

Output
Its symmetry is Fd-3m, No. 227. Its spin magnetization is 0.052 μB per atom. The value obtained for the density is 7.3 g cm⁻³.

CIF file:
```
data_YTm2
_cell_length_a 6.4948
_cell_length_b 6.4948
_cell_length_c 6.4948
_cell_angle_alpha 60.00
_cell_angle_beta 60.00
_cell_angle_gamma 60.00
_space_group_name_H-M_alt 'P 1'
_space_group_IT_number 1
loop_
_space_group_symop_operation_xyz
'x,y,z'
loop_
_atom_site_label
_atom_site_type_symbol
_atom_site_fract_x
_atom_site_fract_y
_atom_site_fract_z
_atom_site_occupancy
Y1 Y 0.1250 0.1250 0.1250 1
Y2 Y 0.8750 0.8750 0.8750 1
Tm1 Tm 0.0000 0.5000 0.5000 1
Tm2 Tm 0.5000 0.0000 0.5000 1
Tm3 Tm 0.5000 0.5000 0.0000 1
Tm4 Tm 0.5000 0.5000 0.5000 1
```

***

Most stable: Q

***

P | Material: Tm3Zn4
Method: DFT, PBE
State: optimized geometry

Output
Its symmetry is P6_3/m, No. 176. Its spin magnetization is 0.002 μB per atom. The value obtained for the density is 8.6 g cm⁻³.

CIF file:
```
data_Tm3Zn4
_cell_length_a 8.6460
_cell_length_b 8.6460
_cell_length_c 4.5724
_cell_angle_alpha 90.00
_cell_angle_beta 90.00
_cell_angle_gamma 120.00
_space_group_name_H-M_alt 'P 1'
_space_group_IT_number 1
loop_
_space_group_symop_operation_xyz
'x,y,z'
loop_
_atom_site_label
_atom_site_type_symbol
_atom_site_fract_x
_atom_site_fract_y
_atom_site_fract_z
_atom_site_occupancy
Tm1 Tm 0.1015 0.4421 0.2500 1
Tm2 Tm 0.3406 0.8985 0.2500 1
Tm3 Tm 0.4421 0.3406 0.7500 1
Tm4 Tm 0.5579 0.6594 0.2500 1
Tm5 Tm 0.6594 0.1015 0.7500 1
Tm6 Tm 0.8985 0.5579 0.7500 1
Zn1 Zn 0.0378 0.2080 0.7500 1
Zn2 Zn 0.1702 0.9622 0.7500 1
Zn3 Zn 0.2080 0.1702 0.2500 1
Zn4 Zn 0.3333 0.6667 0.7500 1
Zn5 Zn 0.6667 0.3333 0.2500 1
Zn6 Zn 0.7920 0.8298 0.7500 1
Zn7 Zn 0.8298 0.0378 0.2500 1
Zn8 Zn 0.9622 0.7920 0.2500 1
```

***

Q | Material: Tm3Zn4
Method: DFT, PBE
State: optimized geometry

Output
Its symmetry is P6_3/m, No. 176. Its spin magnetization is 0.000 μB per atom. The value obtained for the density is 8.7 g cm⁻³.

CIF file:
```
data_Tm3Zn4
_cell_length_a 8.1679
_cell_length_b 8.1679
_cell_length_c 5.0966
_cell_angle_alpha 90.00
_cell_angle_beta 90.00
_cell_angle_gamma 120.00
_space_group_name_H-M_alt 'P 1'
_space_group_IT_number 1
loop_
_space_group_symop_operation_xyz
'x,y,z'
loop_
_atom_site_label
_atom_site_type_symbol
_atom_site_fract_x
_atom_site_fract_y
_atom_site_fract_z
_atom_site_occupancy
Tm1 Tm 0.0798 0.2772 0.2500 1
Tm2 Tm 0.1974 0.9202 0.2500 1
Tm3 Tm 0.2772 0.1974 0.7500 1
Tm4 Tm 0.7228 0.8026 0.2500 1
Tm5 Tm 0.8026 0.0798 0.7500 1
Tm6 Tm 0.9202 0.7228 0.7500 1
Zn1 Zn 0.1160 0.4917 0.7500 1
Zn2 Zn 0.3333 0.6667 0.2500 1
Zn3 Zn 0.3757 0.8840 0.7500 1
Zn4 Zn 0.4917 0.3757 0.2500 1
Zn5 Zn 0.5083 0.6243 0.7500 1
Zn6 Zn 0.6243 0.1160 0.2500 1
Zn7 Zn 0.6667 0.3333 0.7500 1
Zn8 Zn 0.8840 0.5083 0.2500 1
```

***

Most stable: P

***

P | Material: TmZr
Method: DFT, PBE
State: optimized geometry

Output
Its symmetry is Amm2, No. 38. Its spin magnetization is 0.013 μB per atom. The value obtained for the density is 8.2 g cm⁻³.

CIF file:
```
data_TmZr
_cell_length_a 5.3092
_cell_length_b 8.9657
_cell_length_c 8.9657
_cell_angle_alpha 142.04
_cell_angle_beta 90.00
_cell_angle_gamma 90.00
_space_group_name_H-M_alt 'P 1'
_space_group_IT_number 1
loop_
_space_group_symop_operation_xyz
'x,y,z'
loop_
_atom_site_label
_atom_site_type_symbol
_atom_site_fract_x
_atom_site_fract_y
_atom_site_fract_z
_atom_site_occupancy
Tm1 Tm 0.0000 0.0000 0.0000 1
Tm2 Tm 0.0000 0.4138 0.6200 1
Tm3 Tm 0.0000 0.6200 0.4138 1
Tm4 Tm 0.5000 0.0637 0.2732 1
Tm5 Tm 0.5000 0.2732 0.0637 1
Zr1 Zr 0.0000 0.2045 0.7895 1
Zr2 Zr 0.0000 0.7895 0.2045 1
Zr3 Zr 0.5000 0.4791 0.8857 1
Zr4 Zr 0.5000 0.6694 0.6694 1
Zr5 Zr 0.5000 0.8857 0.4791 1
```

***

Q | Material: TmZr
Method: DFT, PBE
State: optimized geometry

Output
Its symmetry is Fm-3m, No. 225. Its spin magnetization is 0.107 μB per atom. The value obtained for the density is 7.8 g cm⁻³.

CIF file:
```
data_TmZr
_cell_length_a 4.2718
_cell_length_b 4.2718
_cell_length_c 4.2718
_cell_angle_alpha 60.00
_cell_angle_beta 60.00
_cell_angle_gamma 60.00
_space_group_name_H-M_alt 'P 1'
_space_group_IT_number 1
loop_
_space_group_symop_operation_xyz
'x,y,z'
loop_
_atom_site_label
_atom_site_type_symbol
_atom_site_fract_x
_atom_site_fract_y
_atom_site_fract_z
_atom_site_occupancy
Tm1 Tm 0.0000 0.0000 0.0000 1
Zr1 Zr 0.5000 0.5000 0.5000 1
```

***

Most stable: P

***

P | Material: TmZr
Method: DFT, PBE
State: optimized geometry

Output
Its symmetry is Pmma, No. 51. Its spin magnetization is 0.013 μB per atom. The value obtained for the density is 8.2 g cm⁻³.

CIF file:
```
data_TmZr
_cell_length_a 5.3142
_cell_length_b 3.3597
_cell_length_c 5.8876
_cell_angle_alpha 90.00
_cell_angle_beta 90.00
_cell_angle_gamma 90.00
_space_group_name_H-M_alt 'P 1'
_space_group_IT_number 1
loop_
_space_group_symop_operation_xyz
'x,y,z'
loop_
_atom_site_label
_atom_site_type_symbol
_atom_site_fract_x
_atom_site_fract_y
_atom_site_fract_z
_atom_site_occupancy
Tm1 Tm 0.2500 0.0000 0.1688 1
Tm2 Tm 0.7500 0.0000 0.8312 1
Zr1 Zr 0.2500 0.5000 0.6503 1
Zr2 Zr 0.7500 0.5000 0.3497 1
```

***

Q | Material: TmZr
Method: DFT, PBE
State: optimized geometry

Output
Its symmetry is P2_1/m, No. 11. Its spin magnetization is 0.002 μB per atom. The value obtained for the density is 8.2 g cm⁻³.

CIF file:
```
data_TmZr
_cell_length_a 6.7375
_cell_length_b 5.3220
_cell_length_c 8.9725
_cell_angle_alpha 90.00
_cell_angle_beta 100.86
_cell_angle_gamma 90.00
_space_group_name_H-M_alt 'P 1'
_space_group_IT_number 1
loop_
_space_group_symop_operation_xyz
'x,y,z'
loop_
_atom_site_label
_atom_site_type_symbol
_atom_site_fract_x
_atom_site_fract_y
_atom_site_fract_z
_atom_site_occupancy
Tm1 Tm 0.0248 0.2500 0.1173 1
Tm2 Tm 0.3089 0.7500 0.2367 1
Tm3 Tm 0.4669 0.7500 0.8825 1
Tm4 Tm 0.5331 0.2500 0.1175 1
Tm5 Tm 0.6911 0.2500 0.7633 1
Tm6 Tm 0.9752 0.7500 0.8827 1
Zr1 Zr 0.1325 0.7500 0.5512 1
Zr2 Zr 0.1893 0.2500 0.7585 1
Zr3 Zr 0.3575 0.2500 0.4560 1
Zr4 Zr 0.6425 0.7500 0.5440 1
Zr5 Zr 0.8107 0.7500 0.2415 1
Zr6 Zr 0.8675 0.2500 0.4488 1
```

***

Most stable: Q